Entry 1:
A plane-wave DFT calculation with PBE-GGA was carried out for ScTl3Co after structural relaxation.

## Properties
DOS(E_F) (states/eV/atom): 1.214

abc: 4.987 4.987 4.987
angles: 90.00 90.00 90.00
Space group Pm-3m (No. 221)
Inequivalent atoms, fractional coordinates:
1 Sc 0.000 0.000 0.000
2 Tl 0.000 0.500 0.500
3 Co 0.500 0.500 0.500

Entry 2:
A plane-wave DFT calculation with PBE-GGA was carried out for Ac2TmCd after structural relaxation.

## Properties
DOS(E_F) (states/eV/atom): 1.157

abc: 8.259 8.259 8.259
angles: 90.00 90.00 90.00
Space group Fm-3m (No. 225)
Inequivalent atoms, fractional coordinates:
1 Ac 0.250 0.250 0.250
2 Tm 0.000 0.000 0.000
3 Cd 0.000 0.000 0.500

Number 1: ΔE_f 0.35 eV per atom. Number 2: ΔE_f -0.03 eV per atom.